VASP calculation (PBE) on a geometry-optimized La2ReTe structure.

a = 3.8214 Å, b = 3.8236 Å, c = 7.4340 Å
α = 90.00°, β = 90.00°, γ = 90.00°
Closest atoms and distances in Å follow each position.
Sites, in units of the cell vectors:
La: 0.0000 0.0000 0.0235  4 Re 3.18, 1 La 3.37, 4 Te 3.38
La: 0.0000 0.0000 0.4765  4 Re 3.18, 1 La 3.37, 4 Te 3.38
Re: 0.5000 0.5000 0.2500  8 La 3.18
Te: 0.5000 0.5000 0.7500  8 La 3.38, 2 Re 3.72

Summary:
raw formation energy = -28.5 kJ per mole of atoms
symmetry = P4/mmm (123)
M_tot = 0.00 Bohr magnetons per cell